No. 1
# PBE CaSi2Ru, relaxed
data_CaSi2Ru
_chemical_formula_sum 'Ca1 Si2 Ru1'
_cell_length_a 3.307
_cell_length_b 4.251
_cell_length_c 5.176
_cell_angle_alpha 90.00
_cell_angle_beta 90.12
_cell_angle_gamma 90.00
_symmetry_space_group_name_H-M 'P 1 2/m 1'
_symmetry_Int_Tables_number 10
loop_
_symmetry_equiv_pos_as_xyz
'x,y,z'
'-x,-y,-z'
'-x,y,-z'
'x,-y,z'
loop_
_atom_site_label
_atom_site_type_symbol
_atom_site_fract_x
_atom_site_fract_y
_atom_site_fract_z
Ca1 Ca 0.000 0.000 0.000
Si1 Si 0.499 0.500 0.735
Ru1 Ru 0.500 0.000 0.500
# ΔE_f (raw) (meV per atom): -212
# V (Å³/cell): 73
# Total magnetization (μB per cell): 0.0
# ρ (Mg/m³): 4.50


No. 2
# PBE NaCa3Pt, relaxed
data_NaCa3Pt
_chemical_formula_sum 'Na8 Ca24 Pt8'
_cell_length_a 13.316
_cell_length_b 14.872
_cell_length_c 7.136
_cell_angle_alpha 90.00
_cell_angle_beta 107.65
_cell_angle_gamma 90.00
_symmetry_space_group_name_H-M 'C 1 2/c 1'
_symmetry_Int_Tables_number 15
loop_
_symmetry_equiv_pos_as_xyz
'x,y,z'
'-x,-y,-z'
'-x,y,-z+1/2'
'x,-y,z+1/2'
'x+1/2,y+1/2,z'
'-x+1/2,-y+1/2,-z'
'-x+1/2,y+1/2,-z+1/2'
'x+1/2,-y+1/2,z+1/2'
loop_
_atom_site_label
_atom_site_type_symbol
_atom_site_fract_x
_atom_site_fract_y
_atom_site_fract_z
Na1 Na 0.000 0.192 0.250
Na2 Na 0.000 0.236 0.750
Ca1 Ca 0.123 0.420 0.145
Ca2 Ca 0.126 0.035 0.939
Ca3 Ca 0.216 0.322 0.663
Pt1 Pt 0.170 0.134 0.621
# V (Å³/cell): 1347
# Total magnetization (μB per cell): 0.0
# ρ (Mg/m³): 3.34
# Excess energy over the best structure of this formula in the dataset (eV/atom): 0.117


No. 3
# PBE Th3Ga5S12, relaxed
data_Th3Ga5S12
_chemical_formula_sum 'Th24 Ga40 S96'
_cell_length_a 15.330
_cell_length_b 15.330
_cell_length_c 15.330
_cell_angle_alpha 90.00
_cell_angle_beta 90.00
_cell_angle_gamma 90.00
_symmetry_space_group_name_H-M 'I a -3 d'
_symmetry_Int_Tables_number 230
_symmetry_space_group_name_Hall '-I 4bd 2c 3'
loop_
_atom_site_label
_atom_site_type_symbol
_atom_site_fract_x
_atom_site_fract_y
_atom_site_fract_z
Th1 Th 0.000 0.250 0.125
Ga1 Ga 0.000 0.000 0.000
Ga2 Ga 0.000 0.250 0.375
S1 S 0.027 0.062 0.653
# ΔE_f (raw) (meV per atom): -1155
# V (Å³/cell): 3602
# Total magnetization (μB per cell): 0.0
# ρ (Mg/m³): 5.27


No. 4
# PBE CePm2NdTm5, relaxed
data_CePm2NdTm5
_chemical_formula_sum 'Ce4 Pm8 Nd4 Tm20'
_cell_length_a 8.647
_cell_length_b 8.647
_cell_length_c 15.318
_cell_angle_alpha 90.00
_cell_angle_beta 90.00
_cell_angle_gamma 90.00
_symmetry_space_group_name_H-M 'I 4/m c m'
_symmetry_Int_Tables_number 140
_symmetry_space_group_name_Hall '-I 4 2c'
loop_
_atom_site_label
_atom_site_type_symbol
_atom_site_fract_x
_atom_site_fract_y
_atom_site_fract_z
Ce1 Ce 0.000 0.500 0.250
Pm1 Pm 0.118 0.382 0.000
Nd1 Nd 0.000 0.000 0.250
Tm1 Tm 0.000 0.000 0.000
Tm2 Tm 0.205 0.295 0.362
# V (Å³/cell): 1145
# VASP energy (eV/atom): -4.46
# Total magnetization (μB per cell): 4.0
# ρ (Mg/m³): 8.23


No. 5
# PBE YAlTl2, relaxed
data_YAlTl2
_chemical_formula_sum 'Y4 Al4 Tl8'
_cell_length_a 4.503
_cell_length_b 4.503
_cell_length_c 21.998
_cell_angle_alpha 90.00
_cell_angle_beta 90.00
_cell_angle_gamma 90.00
_symmetry_space_group_name_H-M 'I -4 2 d'
_symmetry_Int_Tables_number 122
_symmetry_space_group_name_Hall 'I -4 2bw'
loop_
_atom_site_label
_atom_site_type_symbol
_atom_site_fract_x
_atom_site_fract_y
_atom_site_fract_z
Y1 Y 0.000 0.000 0.000
Al1 Al 0.000 0.000 0.500
Tl1 Tl 0.241 0.250 0.625
# V (Å³/cell): 446
# Total magnetization (μB per cell): 0.0
# ρ (Mg/m³): 7.81
# Excess energy over the best structure of this formula in the dataset (eV/atom): 0.252


No. 6
# PBE NaTl2GaCo, relaxed
data_NaTl2GaCo
_chemical_formula_sum 'Na1 Tl2 Ga1 Co1'
_cell_length_a 5.085
_cell_length_b 5.085
_cell_length_c 4.662
_cell_angle_alpha 90.00
_cell_angle_beta 90.00
_cell_angle_gamma 90.00
_symmetry_space_group_name_H-M 'P 4/m m m'
_symmetry_Int_Tables_number 123
_symmetry_space_group_name_Hall '-P 4 2'
loop_
_atom_site_label
_atom_site_type_symbol
_atom_site_fract_x
_atom_site_fract_y
_atom_site_fract_z
Na1 Na 0.000 0.000 0.000
Tl1 Tl 0.000 0.500 0.500
Ga1 Ga 0.500 0.500 0.000
Co1 Co 0.500 0.500 0.500
# V (Å³/cell): 121
# VASP energy (eV/atom): -3.20
# Total magnetization (μB per cell): 0.0
# ρ (Mg/m³): 7.72


No. 7
# PBE CsIn2Cu, relaxed
data_CsIn2Cu
_chemical_formula_sum 'Cs3 In6 Cu3'
_cell_length_a 4.6445
_cell_length_b 4.6445
_cell_length_c 21.8941
_cell_angle_alpha 90.00
_cell_angle_beta 90.00
_cell_angle_gamma 120.00
_symmetry_space_group_name_H-M 'R -3 m'
_symmetry_Int_Tables_number 166
_symmetry_space_group_name_Hall '-R 3 2"'
loop_
_atom_site_label
_atom_site_type_symbol
_atom_site_fract_x
_atom_site_fract_y
_atom_site_fract_z
Cs1 Cs 0.0000 0.0000 0.0000
In1 In 0.0000 0.0000 0.1985
Cu1 Cu 0.0000 0.0000 0.5000
# V (Å³/cell): 409
# Total magnetization (μB per cell): 0.0
# ρ (Mg/m³): 5.19
# Excess energy over the best structure of this formula in the dataset (eV/atom): 0.000


No. 8
# PBE TiAl2PdC, relaxed
data_TiAl2PdC
_chemical_formula_sum 'Ti1 Al2 Pd1 C1'
_cell_length_a 5.008
_cell_length_b 5.008
_cell_length_c 3.838
_cell_angle_alpha 90.00
_cell_angle_beta 90.00
_cell_angle_gamma 90.00
_symmetry_space_group_name_H-M 'P 4/m m m'
_symmetry_Int_Tables_number 123
_symmetry_space_group_name_Hall '-P 4 2'
loop_
_atom_site_label
_atom_site_type_symbol
_atom_site_fract_x
_atom_site_fract_y
_atom_site_fract_z
Ti1 Ti 0.000 0.000 0.000
Al1 Al 0.000 0.500 0.000
Pd1 Pd 0.500 0.500 0.500
C1 C 0.000 0.000 0.500
# V (Å³/cell): 96
# VASP energy (eV/atom): -4.90
# Total magnetization (μB per cell): 0.0
# ρ (Mg/m³): 3.80


Which value of total magnetization does entry 5 give?
0.0 μB per cell


Please write out number 6 again, unchanged.
# PBE NaTl2GaCo, relaxed
data_NaTl2GaCo
_chemical_formula_sum 'Na1 Tl2 Ga1 Co1'
_cell_length_a 5.085
_cell_length_b 5.085
_cell_length_c 4.662
_cell_angle_alpha 90.00
_cell_angle_beta 90.00
_cell_angle_gamma 90.00
_symmetry_space_group_name_H-M 'P 4/m m m'
_symmetry_Int_Tables_number 123
_symmetry_space_group_name_Hall '-P 4 2'
loop_
_atom_site_label
_atom_site_type_symbol
_atom_site_fract_x
_atom_site_fract_y
_atom_site_fract_z
Na1 Na 0.000 0.000 0.000
Tl1 Tl 0.000 0.500 0.500
Ga1 Ga 0.500 0.500 0.000
Co1 Co 0.500 0.500 0.500
# V (Å³/cell): 121
# VASP energy (eV/atom): -3.20
# Total magnetization (μB per cell): 0.0
# ρ (Mg/m³): 7.72


The highest ρ belongs to which entry?
CePm2NdTm5


Which of these has the lowest ρ?
NaCa3Pt